VASP calculation (PBE with a Hubbard U) on a geometry-optimized Na5MoO4 structure.

Results
VASP energy	-4.6739	eV/atom

Cell lengths 14.320, 3.482, 6.202 Å; angles 90.00, 115.52, 90.00 degrees
Space group C2/m (No. 12)
Symmetry-distinct sites (fractional):
Na  0.000  0.000  0.000 (multiplicity 2)
Na  0.172  0.500  0.437 (multiplicity 4)
Na  0.172  0.500  0.906 (multiplicity 4)
Mo  0.000  0.000  0.500 (multiplicity 2)
O  0.000  0.500  0.269 (multiplicity 4)
O  0.180  0.000  0.680 (multiplicity 4)